A) Density functional theory data (PBE) for Ba2CaCuH after structural relaxation.

Properties
The value obtained for the mass density is 2.7 Mg/m³. For the density of states at the Fermi level, the calculation gives 4.04 states/eV/f.u. For the magnetic moment, the calculation gives 0.00 μB/f.u.

Cell: 6.8560 6.8560 4.8901 Å, 90.00 90.00 90.00°
Closest atoms and distances in Å follow each position.
Space group P4/mmm (No. 123)
Unique sites:
Ba 0.0000 0.5000 0.0000 x2  2 Ca 3.43
Ca 0.0000 0.0000 0.0000 x1  2 Cu 2.45
Cu 0.0000 0.0000 0.5000 x1  2 Ca 2.45
H 0.5000 0.5000 0.5000 x1  8 Ba 4.21

=====

B) Density functional theory data (PBE) for Ba2CaCuH after structural relaxation.

Properties
The value obtained for the mass density is 4.0 Mg/m³. For the density of states at the Fermi level, the calculation gives 3.09 states/eV/f.u. For the magnetic moment, the calculation gives 0.00 μB/f.u.

Cell: 5.7752 5.7752 4.6867 Å, 90.00 90.00 90.00°
Closest atoms and distances in Å follow each position.
Space group P4/mmm (No. 123)
Unique sites:
Ba 0.0000 0.5000 0.0000 x2  2 H 2.89
Ca 0.0000 0.0000 0.5000 x1  2 H 2.34
Cu 0.5000 0.5000 0.5000 x1  8 Ba 3.72, 4 Ca 4.08
H 0.0000 0.0000 0.0000 x1  2 Ca 2.34

=====

Q: Which of them is the most stable? A: B).

=====

A) Density functional theory data (PBE) for Ba3CaLa2Cu6O13 after structural relaxation.

Properties
The value obtained for the mass density is 6.0 Mg/m³. For the density of states at the Fermi level, the calculation gives 7.58 states/eV/f.u. For the magnetic moment, the calculation gives 0.00 μB/f.u.

Cell: 7.8084 7.9479 12.3885 Å, 90.00 107.27 90.00°
Closest atoms and distances in Å follow each position.
Space group Cm (No. 8)
Unique sites:
Ba 0.0000 0.0000 0.0000 x2  8 O 2.77-2.91
Ba 0.0112 0.5000 0.0082 x2  9 O 2.82-3.09
Ba 0.1982 0.0000 0.3742 x2  9 O 2.80-2.97
Ca 0.1986 0.5000 0.3909 x2  3 O 2.33-2.53
La 0.3540 0.0000 0.6871 x2  8 O 2.50-2.62
La 0.3538 0.5000 0.6863 x2  8 O 2.47-2.55
Cu 0.0306 0.2508 0.5330 x4  4 O 1.96-2.00
Cu 0.1741 0.2495 0.8356 x4  4 O 1.96-2.00
Cu 0.3580 0.2665 0.1996 x4  3 O 1.82-1.91
O 0.0300 0.0000 0.5452 x2  2 Cu 2.00
O 0.0454 0.5000 0.5568 x2  2 Cu 2.00
O 0.1668 0.5000 0.8233 x2  2 Cu 2.00
O 0.1676 0.0000 0.8208 x2  2 Cu 1.99
O 0.2686 0.2401 0.0464 x4  1 Cu 1.83
O 0.2910 0.2503 0.5535 x4  2 Cu 1.96-1.97
O 0.3299 0.5000 0.2276 x2  2 Cu 1.91
O 0.4167 0.2503 0.8202 x4  2 Cu 1.96
O 0.4759 0.2064 0.3444 x4  1 Cu 1.82

=====

B) Density functional theory data (PBE) for Ba3CaLa2Cu6O13 after structural relaxation.

Properties
The value obtained for the mass density is 6.0 Mg/m³. For the density of states at the Fermi level, the calculation gives 5.11 states/eV/f.u. For the magnetic moment, the calculation gives 0.00 μB/f.u.

Cell: 7.7758 7.8841 11.9638 Å, 90.00 90.73 90.00°
Closest atoms and distances in Å follow each position.
Space group Cm (No. 8)
Unique sites:
Ba 0.0000 0.0000 0.0000 x2  8 O 2.83-2.94
Ba 0.0034 0.5000 0.6205 x2  9 O 2.81-2.98
Ba 0.4950 0.0000 0.0019 x2  8 O 2.78-2.91
Ca 0.0018 0.0000 0.3030 x2  8 O 2.45-2.59
La 0.0006 0.0000 0.5948 x2  7 O 2.41-2.62
La 0.0028 0.5000 0.3107 x2  8 O 2.50-2.60
Cu 0.2496 0.2504 0.1706 x4  4 O 1.95-1.98
Cu 0.2522 0.2349 0.8004 x4  3 O 1.82-1.92
Cu 0.2558 0.2505 0.4510 x4  4 O 1.94-1.98
O 0.9997 0.2510 0.1815 x4  2 Cu 1.95
O 0.0064 0.2443 0.4470 x4  2 Cu 1.94-1.95
O 0.2120 0.0000 0.7664 x2  2 Cu 1.92
O 0.2410 0.2569 0.9511 x4  1 Cu 1.82
O 0.2486 0.0000 0.4498 x2  2 Cu 1.98
O 0.2488 0.5000 0.1775 x2  2 Cu 1.97
O 0.2500 0.0000 0.1790 x2  2 Cu 1.98
O 0.2621 0.5000 0.4390 x2  2 Cu 1.97
O 0.2933 0.2933 0.6544 x4  1 Cu 1.84

=====

Q: Which of them is the most stable? A: B).

=====

A) Density functional theory data (PBE) for BaLiCa2Cu after structural relaxation.

Properties
The value obtained for the mass density is 2.4 Mg/m³. For the density of states at the Fermi level, the calculation gives 2.67 states/eV/f.u. For the magnetic moment, the calculation gives 0.00 μB/f.u.

Cell: 5.7037 5.7037 6.1740 Å, 90.00 90.00 90.00°
Closest atoms and distances in Å follow each position.
Space group P4/mmm (No. 123)
Unique sites:
Ba 0.0000 0.0000 0.0000 x1  2 Cu 3.09
Li 0.5000 0.5000 0.0000 x1  4 Ba 4.03, 8 Ca 4.20
Ca 0.0000 0.5000 0.5000 x2  2 Cu 2.85
Cu 0.0000 0.0000 0.5000 x1  4 Ca 2.85, 2 Ba 3.09

=====

B) Density functional theory data (PBE) for BaLiCa2Cu after structural relaxation.

Properties
The value obtained for the mass density is 2.7 Mg/m³. For the density of states at the Fermi level, the calculation gives 5.45 states/eV/f.u. For the magnetic moment, the calculation gives 0.00 μB/f.u.

Cell: 5.7163 5.7163 5.4631 Å, 90.00 90.00 90.00°
Closest atoms and distances in Å follow each position.
Space group P4/mmm (No. 123)
Unique sites:
Ba 0.0000 0.0000 0.0000 x1  8 Ca 3.95, 4 Li 4.04
Li 0.5000 0.5000 0.0000 x1  2 Cu 2.73
Ca 0.0000 0.5000 0.5000 x2  2 Cu 2.86
Cu 0.5000 0.5000 0.5000 x1  2 Li 2.73, 4 Ca 2.86

=====

Q: Which of them is the most stable? A: A).

=====

A) Density functional theory data (PBE) for Ba2Ca3Tl2Cu4O12 after structural relaxation.

Properties
The value obtained for the mass density is 6.2 Mg/m³. For the density of states at the Fermi level, the calculation gives 4.99 states/eV/f.u. For the magnetic moment, the calculation gives 0.00 μB/f.u.

Cell: 3.9146 3.9146 43.6541 Å, 90.00 90.00 90.00°
Closest atoms and distances in Å follow each position.
Space group I4/mmm (No. 139)
Unique sites:
Ba 0.0000 0.0000 0.1549 x4  8 O 2.80-2.90
Ca 0.0000 0.0000 0.0000 x2  8 O 2.52
Ca 0.0000 0.0000 0.0739 x4  8 O 2.49-2.55
Tl 0.0000 0.0000 0.2764 x4  5 O 2.12-2.27
Cu 0.0000 0.0000 0.3915 x4  4 O 1.96
Cu 0.0000 0.0000 0.4631 x4  4 O 1.96
O 0.0000 0.0000 0.3250 x4  1 Tl 2.12
O 0.0000 0.5000 0.0365 x8  2 Cu 1.96
O 0.0000 0.5000 0.1092 x8  2 Cu 1.96
O 0.0000 0.5000 0.2500 x4  4 Tl 2.27

=====

B) Density functional theory data (PBE) for Ba2Ca3Tl2Cu4O12 after structural relaxation.

Properties
The value obtained for the mass density is 5.8 Mg/m³. For the density of states at the Fermi level, the calculation gives 7.02 states/eV/f.u. For the magnetic moment, the calculation gives 0.29 μB/f.u.

Cell: 3.9080 4.0109 22.7071 Å, 89.15 85.48 89.79°
Closest atoms and distances in Å follow each position.
Space group P1 (No. 1)
Unique sites:
Ba 0.0000 0.0000 0.0000 x1  9 O 2.81-3.05
Ba 0.1624 0.1238 0.6274 x1  6 O 2.58-2.79
Ca 0.5409 0.1411 0.4472 x1  5 O 2.36-2.51
Ca 0.5972 0.1559 0.3065 x1  6 O 2.33-2.59
Ca 0.9371 0.9865 0.1550 x1  7 O 2.36-2.64
Tl 0.5544 0.5258 0.8816 x1  1 O 2.17
Tl 0.6060 0.2919 0.7556 x1  2 O 2.59-2.60, 2 Cu 2.84-2.85
Cu 0.0762 0.6493 0.3762 x1  4 O 1.96-2.01
Cu 0.0929 0.8046 0.7869 x1  2 O 1.85-1.88
Cu 0.4602 0.4936 0.0880 x1  4 O 1.97-2.01
Cu 0.7081 0.6303 0.5501 x1  4 O 1.94-2.01
O 0.0594 0.9158 0.8661 x1  1 Cu 1.85
O 0.0692 0.1489 0.3827 x1  2 Cu 2.01
O 0.1269 0.6345 0.7101 x1  1 Cu 1.88
O 0.1386 0.1973 0.2438 x1  1 O 1.48
O 0.2061 0.6314 0.5458 x1  1 O 1.51
O 0.2702 0.6397 0.4795 x1  1 O 1.51
O 0.3694 0.9204 0.2248 x1  1 O 1.48
O 0.4600 0.9940 0.0895 x1  2 Cu 2.00-2.01
O 0.5108 0.5023 0.9774 x1  1 Tl 2.17
O 0.5838 0.6539 0.3644 x1  2 Cu 1.96-1.98
O 0.6931 0.1303 0.5524 x1  2 Cu 2.01
O 0.9542 0.4905 0.0997 x1  2 Cu 1.97

=====

Q: Which of them is the most stable? A: A).